w | {
  "formula": "Pu3Mn",
  "functional": "PBE",
  "state": "optimized geometry",
  "rho_g_cm3": 16.56,
  "dos_ef_per_ev_atom": 2.8431,
  "crystal_system": "orthorhombic",
  "sg": "Imm2, No. 44",
  "lattice": [[2.9551, 0.0000, 0.0000], [0.0000, 10.2919, 0.0000], [0.0000, 0.0000, 5.1878]],
  "species": ["Pu", "Pu", "Pu", "Pu", "Pu", "Pu", "Mn", "Mn"],
  "fractional_positions": [[0.0000, 0.0000, 0.0000], [0.0000, 0.2122, 0.2747], [0.0000, 0.7878, 0.2747], [0.5000, 0.2878, 0.7747], [0.5000, 0.5000, 0.5000], [0.5000, 0.7122, 0.7747], [0.0000, 0.5000, 0.0532], [0.5000, 0.0000, 0.5532]]
}

x | {
  "formula": "Pu3Mn",
  "functional": "PBE",
  "state": "optimized geometry",
  "rho_g_cm3": 17.86,
  "dos_ef_per_ev_atom": 2.2493,
  "crystal_system": "tetragonal",
  "sg": "P-4m2, No. 115",
  "lattice": [[4.0227, 0.0000, 0.0000], [0.0000, 4.0227, 0.0000], [0.0000, 0.0000, 4.5210]],
  "species": ["Pu", "Pu", "Pu", "Mn"],
  "fractional_positions": [[0.0000, 0.0000, 0.0000], [0.0000, 0.5000, 0.6208], [0.5000, 0.0000, 0.3792], [0.5000, 0.5000, 0.0000]]
}

x (5.5 kJ/mol of atoms below the next structure)